The following is a DFT calculation (GGA-PBE) of an optimized crystal structure of CsCaH.

The structure in extended XYZ format:
```
3
Lattice="-4.288 0.111 -1.836 1.437 -3.142 -3.543 -1.249 -3.621 2.704" Properties=species:S:1:pos:R:3 pbc="T T T"
H 0.000 0.000 0.000
Ca 0.718 -1.571 -1.772
Cs -2.769 -1.755 0.434
```

Summary:
DOS at the Fermi energy in states/eV/cell: 1.22
Space group: Pmmm (47)
VASP energy in eV per cell: -6.166
Theoretical density in Mg/m³: 2.7
V in Å³/f.u.: 108

=====

The following is a DFT calculation (GGA-PBE) of an optimized crystal structure of Zr2CdPb.

The structure in extended XYZ format:
```
4
Lattice="10.795 0.053 0.031 10.273 3.316 0.031 10.273 1.643 2.880" Properties=species:S:1:pos:R:3 pbc="T T T"
Zr 31.162 4.983 2.926
Zr 7.899 1.263 0.742
Cd 15.842 2.533 1.488
Pb 23.449 3.750 2.202
```

Summary:
DOS at the Fermi energy in states/eV/cell: 4.10
Space group: R3m (160)
Theoretical density in Mg/m³: 8.3
V in Å³/f.u.: 100
ΔH_f (0 K) in eV per atom: 0.03